(1)
Crystalline AcLa2PmDy5 at its relaxed geometry, computed with PBE.

Unit cell a=8.8219 b=8.8219 c=10.1379 alpha=115.79 beta=115.79 gamma=90.00
Atoms (fractional coordinates):
Dy 0.9253 0.4253 0.2716
Dy 0.3463 0.8463 0.2716
Dy 0.6537 0.1537 0.7284
Dy 0.8463 0.9253 0.2716
Dy 0.0000 0.0000 0.0000
Ac 0.2500 0.2500 0.5000
Dy 0.5747 0.6537 0.7284
Dy 0.1537 0.0747 0.7284
La 0.8825 0.6175 0.0000
Ac 0.7500 0.7500 0.5000
Pm 0.2500 0.7500 0.5000
Pm 0.7500 0.2500 0.5000
Dy 0.4253 0.3463 0.2716
La 0.6175 0.1175 0.0000
Dy 0.5000 0.5000 0.0000
Dy 0.0747 0.5747 0.7284
La 0.3825 0.8825 0.0000
La 0.1175 0.3825 0.0000

Summary:
Crystal system: tetragonal
ΔH_f (0 K) in eV per atom: 0.238
Symmetry: No. 140
Calculated volume in Å³ per atom: 34.55


(2)
Crystalline CsBe2TlPt at its relaxed geometry, computed with PBE.

Unit cell a=4.7439 b=5.3201 c=4.7439 alpha=90.00 beta=90.00 gamma=90.00
Atoms (fractional coordinates):
Be 0.0000 0.0000 0.5000
Tl 0.0000 0.5000 0.0000
Pt 0.0000 0.0000 0.0000
Cs 0.5000 0.5000 0.5000
Be 0.5000 0.0000 0.0000

Summary:
Crystal system: tetragonal
ΔH_f (0 K) in eV per atom: 0.229
Symmetry: No. 123
Calculated volume in Å³ per atom: 23.95


(3)
Crystalline Ti4ZnRe3 at its relaxed geometry, computed with PBE.

Unit cell a=3.1567 b=4.4137 c=8.7691 alpha=90.00 beta=90.00 gamma=90.00
Atoms (fractional coordinates):
Ti 0.0000 0.0000 0.0000
Re 0.5000 0.0000 0.2442
Ti 0.0000 0.5000 0.2584
Zn 0.5000 0.5000 0.0000
Ti 0.0000 0.0000 0.5000
Re 0.5000 0.0000 0.7558
Re 0.5000 0.5000 0.5000
Ti 0.0000 0.5000 0.7416

Summary:
Crystal system: orthorhombic
ΔH_f (0 K) in eV per atom: -0.360
Symmetry: No. 47
Calculated volume in Å³ per atom: 15.27


(4)
Crystalline Ba2SrCu at its relaxed geometry, computed with PBE.

Unit cell a=4.3729 b=7.6230 c=11.3614 alpha=90.00 beta=90.00 gamma=106.68
Atoms (fractional coordinates):
Cu 0.2486 0.4957 0.2500
Ba 0.3599 0.7204 0.5731
Ba 0.6401 0.2796 0.4269
Cu 0.7514 0.5043 0.7500
Ba 0.3599 0.7204 0.9269
Sr 0.9069 0.8136 0.2500
Ba 0.6401 0.2796 0.0731
Sr 0.0931 0.1864 0.7500

Summary:
Crystal system: orthorhombic
ΔH_f (0 K) in eV per atom: 0.011
Offset from the most stable computed form in meV per atom: 0.0
Symmetry: No. 63
Calculated volume in Å³ per atom: 45.35


(5)
Crystalline AlFeTe2 at its relaxed geometry, computed with PBE.

Unit cell a=3.0816 b=3.0816 c=9.3597 alpha=90.00 beta=90.00 gamma=89.99
Site moments in Bohr magnetons follow the coordinates.
Atoms (fractional coordinates):
Te 0.0000 0.0000 0.8963  -0.03
Te 0.5000 0.5000 0.2873  -0.02
Fe 0.5000 0.5000 0.7331  1.17
Al 0.0000 0.0000 0.5833  0.00

Summary:
Crystal system: tetragonal
Symmetry: No. 99
Calculated volume in Å³ per atom: 22.22
Raw formation energy in eV per atom: 0.134


(6)
Crystalline V4ZnGa2 at its relaxed geometry, computed with PBE.

Unit cell a=6.4421 b=6.4421 c=5.2130 alpha=128.34 beta=128.33 gamma=89.82
Atoms (fractional coordinates):
V 0.7278 0.2722 0.0000
V 0.6547 0.6547 0.9971
Zn 0.0000 0.9999 0.9999
V 0.3453 0.3453 0.0028
V 0.2723 0.7278 0.0001
Ga 0.7505 0.2494 0.5000
Ga 0.2495 0.7507 0.5000

Summary:
Crystal system: monoclinic
ΔH_f (0 K) in eV per atom: 0.157
Offset from the most stable computed form in meV per atom: 0.0
Symmetry: No. 12
Calculated volume in Å³ per atom: 14.91


(7)
Crystalline LiV2As2 at its relaxed geometry, computed with PBE.

Unit cell a=6.8343 b=6.8343 c=3.1838 alpha=90.00 beta=90.00 gamma=90.00
Atoms (fractional coordinates):
As 0.3473 0.8473 0.0000
Li 0.5000 0.5000 0.0000
As 0.6527 0.1527 0.0000
Li 0.0000 0.0000 0.0000
As 0.1527 0.3473 0.0000
As 0.8473 0.6527 0.0000
V 0.1394 0.6394 0.5000
V 0.3606 0.1394 0.5000
V 0.6394 0.8606 0.5000
V 0.8606 0.3606 0.5000

Summary:
Crystal system: tetragonal
ΔH_f (0 K) in eV per atom: -0.380
Offset from the most stable computed form in meV per atom: 11.6
Symmetry: No. 127
Calculated volume in Å³ per atom: 14.87


(8)
Crystalline Ta2BeTlRu at its relaxed geometry, computed with PBE.

Unit cell a=5.0483 b=4.8670 c=5.0483 alpha=90.00 beta=90.00 gamma=90.00
Atoms (fractional coordinates):
Ta 0.0000 0.0000 0.5000
Be 0.5000 0.5000 0.5000
Ta 0.5000 0.0000 0.0000
Tl 0.0000 0.0000 0.0000
Ru 0.0000 0.5000 0.0000

Summary:
Crystal system: tetragonal
ΔH_f (0 K) in eV per atom: 2.678
Symmetry: No. 123
Calculated volume in Å³ per atom: 24.81


(9)
Crystalline TaBi2BP at its relaxed geometry, computed with PBE.

Unit cell a=5.4466 b=4.6317 c=5.4466 alpha=90.00 beta=90.00 gamma=90.00
Site moments in Bohr magnetons follow the coordinates.
Atoms (fractional coordinates):
Ta 0.0000 0.5000 0.0000  0.67
Bi 0.0000 0.0000 0.5000  0.01
Bi 0.5000 0.0000 0.0000  -0.02
B 0.5000 0.5000 0.5000  0.02
P 0.0000 0.0000 0.0000  -0.01

Summary:
Crystal system: tetragonal
ΔH_f (0 K) in eV per atom: 1.559
Symmetry: No. 123
Calculated volume in Å³ per atom: 27.48


(10)
Crystalline PmSnGe2 at its relaxed geometry, computed with PBE.

Unit cell a=3.8519 b=3.8519 c=6.3077 alpha=90.00 beta=90.00 gamma=90.00
Atoms (fractional coordinates):
Ge 0.0000 0.0000 0.7829
Pm 0.5000 0.5000 0.5000
Sn 0.5000 0.5000 0.0000
Ge 0.0000 0.0000 0.2171

Summary:
Crystal system: tetragonal
ΔH_f (0 K) in eV per atom: -0.311
Offset from the most stable computed form in meV per atom: 119.5
Symmetry: No. 123
Calculated volume in Å³ per atom: 23.40